NbInNi14: relaxed, PBE-GGA.

a b c (Å): 5.138 5.138 7.164
angles (deg): 90.00 90.00 90.00
Space group P4/mmm (No. 123)
Unique sites:
Nb  0.000  0.000  0.000 [1 per cell]
In  0.500  0.500  0.000 [1 per cell]
Ni  0.000  0.000  0.500 [1 per cell]
Ni  0.000  0.500  0.000 [2 per cell]
Ni  0.000  0.500  0.500 [2 per cell]
Ni  0.246  0.246  0.264 [8 per cell]
Ni  0.500  0.500  0.500 [1 per cell]

Output
Crystal system: tetragonal
DFT formation energy in eV per formula unit: -0.8
E_tot in eV for the cell shown: -94.57